Record 1
YTaAl2: relaxed, PBE.

Computed properties:
M_tot ... 0.00 μB per cell
ΔH_f (0 K) ... -0.129 eV/atom
Total energy ... -6.5799 eV per atom
Excess energy over the best structure of this formula in the dataset ... 99 meV/atom

Cell: 4.3585 4.3585 8.1864 Å, 90.00 90.00 90.00°
With the nearest neighbours (Å) after each atom.
Sites, in units of the cell vectors:
Y 0.0000 0.0000 0.0000  8 Al 2.99, 4 Ta 3.08
Y 0.5000 0.5000 0.5000  8 Al 2.99, 4 Ta 3.08
Ta 0.0000 0.0000 0.5000  8 Al 2.99, 4 Y 3.08
Ta 0.5000 0.5000 0.0000  8 Al 2.99, 4 Y 3.08
Al 0.0000 0.5000 0.2500  4 Ta 2.99, 4 Y 2.99, 4 Al 3.08
Al 0.0000 0.5000 0.7500  4 Ta 2.99, 4 Y 2.99, 4 Al 3.08
Al 0.5000 0.0000 0.2500  4 Ta 2.99, 4 Y 2.99, 4 Al 3.08
Al 0.5000 0.0000 0.7500  4 Ta 2.99, 4 Y 2.99, 4 Al 3.08

Record 2
YTaAl2: relaxed, PBE.

Computed properties:
M_tot ... 0.00 μB per cell
ΔH_f (0 K) ... -0.206 eV/atom
Total energy ... -6.6561 eV per atom
Excess energy over the best structure of this formula in the dataset ... 22 meV/atom

Cell: 3.0130 3.0130 8.5628 Å, 90.00 90.00 90.00°
With the nearest neighbours (Å) after each atom.
Sites, in units of the cell vectors:
Y 0.0000 0.0000 0.0000  4 Y 3.01, 8 Al 3.17
Ta 0.0000 0.0000 0.5000  8 Al 2.88, 4 Ta 3.01
Al 0.5000 0.5000 0.2737  4 Ta 2.88, 4 Al 3.01, 4 Y 3.17
Al 0.5000 0.5000 0.7263  4 Ta 2.88, 4 Al 3.01, 4 Y 3.17

Record 3
YTa2Al: relaxed, PBE.

Computed properties:
M_tot ... 0.00 μB per cell
ΔH_f (0 K) ... 0.174 eV/atom
Total energy ... -8.3037 eV per atom

Cell: 9.6636 3.0193 5.7187 Å, 90.00 97.08 90.00°
With the nearest neighbours (Å) after each atom.
Sites, in units of the cell vectors:
Y 0.0000 0.0000 0.0000  5 Ta 2.98-3.27, 2 Y 3.02, 3 Al 3.03-3.10
Y 0.5000 0.5000 0.0000  5 Ta 2.98-3.27, 2 Y 3.02, 3 Al 3.03-3.10
Ta 0.0175 0.5000 0.5098  5 Ta 2.85-3.02, 3 Al 2.87-3.00
Ta 0.2731 0.5000 0.3083  5 Ta 2.85-3.02, 2 Al 2.87, 1 Y 2.98
Ta 0.5175 0.0000 0.5098  5 Ta 2.85-3.02, 3 Al 2.87-3.00
Ta 0.7731 0.0000 0.3083  5 Ta 2.85-3.02, 2 Al 2.87, 1 Y 2.98
Al 0.2505 0.0000 0.7279  5 Ta 2.87-3.00, 2 Al 3.02, 3 Y 3.03-3.10
Al 0.7505 0.5000 0.7279  5 Ta 2.87-3.00, 2 Al 3.02, 3 Y 3.03-3.10

Record 4
Y2TaAl2: relaxed, PBE.

Computed properties:
M_tot ... 0.00 μB per cell
ΔH_f (0 K) ... 0.410 eV/atom
Total energy ... -6.0434 eV per atom
Excess energy over the best structure of this formula in the dataset ... 483 meV/atom

Cell: 4.0704 4.0704 13.3733 Å, 90.00 90.00 90.00°
With the nearest neighbours (Å) after each atom.
Sites, in units of the cell vectors:
Y 0.0000 0.5000 0.2500  4 Y 2.88, 4 Al 2.97
Y 0.0000 0.5000 0.7500  4 Y 2.88, 4 Al 2.97
Y 0.5000 0.0000 0.2500  4 Y 2.88, 4 Al 2.97
Y 0.5000 0.0000 0.7500  4 Y 2.88, 4 Al 2.97
Ta 0.0000 0.0000 0.0000  8 Al 3.11
Ta 0.5000 0.5000 0.5000  8 Al 3.11
Al 0.0000 0.0000 0.4113  1 Al 2.37
Al 0.0000 0.0000 0.5887  1 Al 2.37
Al 0.5000 0.5000 0.0887  1 Al 2.37
Al 0.5000 0.5000 0.9113  1 Al 2.37

Record 5
YTaAl2: relaxed, PBE.

Computed properties:
M_tot ... 0.00 μB per cell
ΔH_f (0 K) ... 0.018 eV/atom
Total energy ... -6.4320 eV per atom
Excess energy over the best structure of this formula in the dataset ... 247 meV/atom

Cell: 3.0771 3.0771 29.5876 Å, 90.00 90.00 120.00°
With the nearest neighbours (Å) after each atom.
Sites, in units of the cell vectors:
Y 0.0000 0.0000 0.0000  6 Y 3.08, 6 Al 3.23
Y 0.3333 0.6667 0.6667  6 Y 3.08, 6 Al 3.23
Y 0.6667 0.3333 0.3333  6 Y 3.08, 6 Al 3.23
Ta 0.0000 0.0000 0.5000  6 Al 2.86, 6 Ta 3.08
Ta 0.3333 0.6667 0.1667  6 Al 2.86, 6 Ta 3.08
Ta 0.6667 0.3333 0.8333  6 Al 2.86, 6 Ta 3.08
Al 0.0000 0.0000 0.2422  3 Ta 2.86, 6 Al 3.08
Al 0.0000 0.0000 0.7578  3 Ta 2.86, 6 Al 3.08
Al 0.3333 0.6667 0.4244  3 Ta 2.86, 6 Al 3.08
Al 0.3333 0.6667 0.9089  3 Ta 2.86, 6 Al 3.08
Al 0.6667 0.3333 0.0911  3 Ta 2.86, 6 Al 3.08
Al 0.6667 0.3333 0.5756  3 Ta 2.86, 6 Al 3.08

Record 6
Y3TaAl: relaxed, PBE.

Computed properties:
M_tot ... 4.44 μB per cell
ΔH_f (0 K) ... 0.964 eV/atom
Total energy ... -6.0330 eV per atom
Excess energy over the best structure of this formula in the dataset ... 224 meV/atom

Cell: 5.3963 5.3963 5.3963 Å, 90.00 90.00 90.00°
With the nearest neighbours (Å) after each atom.
Sites, in units of the cell vectors:
Y 0.0000 0.0000 0.5000  2 Al 2.70
Y 0.0000 0.5000 0.0000  2 Al 2.70
Y 0.5000 0.0000 0.0000  2 Al 2.70
Ta 0.5000 0.5000 0.5000  12 Y 3.82
Al 0.0000 0.0000 0.0000  6 Y 2.70

Record 7
Y2TaAl2: relaxed, PBE.

Computed properties:
M_tot ... 2.59 μB per cell
ΔH_f (0 K) ... -0.073 eV/atom
Total energy ... -6.5262 eV per atom
Excess energy over the best structure of this formula in the dataset ... 0 meV/atom

Cell: 7.2908 7.2908 4.3590 Å, 90.00 90.00 90.00°
With the nearest neighbours (Å) after each atom.
Sites, in units of the cell vectors:
Y 0.1774 0.3226 0.0000  6 Al 2.95-3.14
Y 0.3226 0.8226 0.0000  6 Al 2.95-3.14
Y 0.6774 0.1774 0.0000  6 Al 2.95-3.14
Y 0.8226 0.6774 0.0000  6 Al 2.95-3.14
Ta 0.0000 0.0000 0.5000  4 Al 2.86
Ta 0.5000 0.5000 0.5000  4 Al 2.86
Al 0.1295 0.6295 0.5000  1 Al 2.67, 2 Ta 2.86, 2 Y 2.95
Al 0.3705 0.1295 0.5000  1 Al 2.67, 2 Ta 2.86, 2 Y 2.95
Al 0.6295 0.8705 0.5000  1 Al 2.67, 2 Ta 2.86, 2 Y 2.95
Al 0.8705 0.3705 0.5000  1 Al 2.67, 2 Ta 2.86, 2 Y 2.95

Record 8
YTaAl2: relaxed, PBE.

Computed properties:
M_tot ... 0.25 μB per cell
ΔH_f (0 K) ... -0.228 eV/atom
Total energy ... -6.6785 eV per atom
Excess energy over the best structure of this formula in the dataset ... 0 meV/atom

Cell: 3.0128 4.0650 6.4217 Å, 90.00 90.00 90.00°
With the nearest neighbours (Å) after each atom.
Sites, in units of the cell vectors:
Y 0.0000 0.0000 0.0000  2 Y 3.01, 8 Al 3.15, 2 Ta 3.21
Ta 0.0000 0.0000 0.5000  8 Al 2.86, 2 Ta 3.01
Al 0.5000 0.5000 0.2918  1 Al 2.67, 4 Ta 2.86
Al 0.5000 0.5000 0.7082  1 Al 2.67, 4 Ta 2.86

Record 9
YTa2Al: relaxed, PBE.

Computed properties:
M_tot ... 0.00 μB per cell
ΔH_f (0 K) ... 0.888 eV/atom
Total energy ... -7.5899 eV per atom

Cell: 4.7631 4.7631 19.4877 Å, 90.00 90.00 90.00°
With the nearest neighbours (Å) after each atom.
Sites, in units of the cell vectors:
Y 0.0000 0.2500 0.3750  4 Al 3.37, 8 Ta 3.61
Y 0.0000 0.7500 0.6250  4 Al 3.37, 8 Ta 3.61
Y 0.5000 0.2500 0.1250  4 Al 3.37, 8 Ta 3.61
Y 0.5000 0.7500 0.8750  4 Al 3.37, 8 Ta 3.61
Ta 0.0000 0.0000 0.0000  2 Ta 2.38
Ta 0.0000 0.5000 0.0000  2 Ta 2.38
Ta 0.2500 0.2500 0.7500  2 Ta 2.38
Ta 0.2500 0.7500 0.2500  2 Ta 2.38
Ta 0.5000 0.0000 0.5000  2 Ta 2.38
Ta 0.5000 0.5000 0.5000  2 Ta 2.38
Ta 0.7500 0.2500 0.7500  2 Ta 2.38
Ta 0.7500 0.7500 0.2500  2 Ta 2.38
Al 0.0000 0.2500 0.8750  4 Ta 2.71
Al 0.0000 0.7500 0.1250  4 Ta 2.71
Al 0.5000 0.2500 0.6250  4 Ta 2.71
Al 0.5000 0.7500 0.3750  4 Ta 2.71

Record 10
YTaAl3: relaxed, PBE.

Computed properties:
M_tot ... 0.00 μB per cell
ΔH_f (0 K) ... 0.295 eV/atom
Total energy ... -5.6143 eV per atom
Excess energy over the best structure of this formula in the dataset ... 0 meV/atom

Cell: 4.9479 4.9479 4.9479 Å, 90.00 90.00 90.00°
With the nearest neighbours (Å) after each atom.
Sites, in units of the cell vectors:
Y 0.0000 0.0000 0.0000  12 Al 3.50
Ta 0.5000 0.5000 0.5000  6 Al 2.47
Al 0.0000 0.5000 0.5000  2 Ta 2.47
Al 0.5000 0.0000 0.5000  2 Ta 2.47
Al 0.5000 0.5000 0.0000  2 Ta 2.47

Record 11
YTa2Al: relaxed, PBE.

Computed properties:
M_tot ... 0.00 μB per cell
ΔH_f (0 K) ... -0.031 eV/atom
Total energy ... -8.5087 eV per atom

Cell: 3.4722 3.4843 6.8854 Å, 90.00 90.00 90.00°
With the nearest neighbours (Å) after each atom.
Sites, in units of the cell vectors:
Y 0.0000 0.0000 0.0000  6 Ta 3.19-3.53, 4 Al 3.19, 4 Y 3.47-3.48
Ta 0.0000 0.0000 0.5132  4 Ta 2.79, 4 Al 2.88
Ta 0.5000 0.5000 0.7054  4 Ta 2.79, 1 Al 2.82
Al 0.5000 0.5000 0.2955  5 Ta 2.82-2.88

Record 12
YTaAl2: relaxed, PBE.

Computed properties:
M_tot ... 0.00 μB per cell
ΔH_f (0 K) ... -0.057 eV/atom
Total energy ... -6.5075 eV per atom
Excess energy over the best structure of this formula in the dataset ... 171 meV/atom

Cell: 4.1123 4.1123 9.4593 Å, 90.00 90.00 90.00°
With the nearest neighbours (Å) after each atom.
Sites, in units of the cell vectors:
Y 0.0000 0.0000 0.0000  8 Al 2.91-3.13, 4 Ta 3.13
Y 0.5000 0.5000 0.5000  8 Al 2.91-3.13, 4 Ta 3.13
Ta 0.0000 0.5000 0.2500  8 Al 2.91-3.13, 4 Y 3.13
Ta 0.5000 0.0000 0.7500  8 Al 2.91-3.13, 4 Y 3.13
Al 0.0000 0.0000 0.5000  4 Y 2.91, 4 Ta 3.13, 4 Al 3.13
Al 0.0000 0.5000 0.7500  4 Ta 2.91, 4 Al 3.13, 4 Y 3.13
Al 0.5000 0.0000 0.2500  4 Ta 2.91, 4 Al 3.13, 4 Y 3.13
Al 0.5000 0.5000 0.0000  4 Y 2.91, 4 Ta 3.13, 4 Al 3.13